{
  "formula": "Mg2TlCr",
  "functional": "PBE-GGA",
  "state": "optimized geometry",
  "magnetic_moment_mub_per_cell": 3.9,
  "density_g_cm3": 5.83,
  "e_above_lowest_polymorph_mev_per_atom": 26,
  "lattice_angstrom": [[3.274, 0.000, 0.000], [0.000, 3.274, 0.000], [0.000, 0.000, 8.106]],
  "species": ["Mg", "Cr", "Mg", "Tl"],
  "frac_coords": [[0.000, 0.000, 0.971], [0.500, 0.500, 0.750], [0.000, 0.000, 0.529], [0.500, 0.500, 0.250]]
}